VASP calculation (GGA-PBE) on crystalline HfAl2Mo at its relaxed geometry.

Values from the calculation:
Electronic total energy   -7.248 eV/atom
Symmetry   P4/mmm (123)
DFT formation energy   -0.1809 eV per atom

Unit cell a=3.426 b=3.426 c=5.779 alpha=90.00 beta=90.00 gamma=90.00
Element x y z (fractional)
Hf  0.000  0.000  0.000
Al  0.500  0.500  0.276
Al  0.500  0.500  0.724
Mo  0.000  0.000  0.500